Record 1
PBE-GGA Nd2GeRu, relaxed; Fermi-level density of states = 3.127 states/eV/f.u.
1.0
6.111 0.000 0.000
0.000 3.853 0.000
-2.835 0.000 8.317
Nd Ge Ru
4 2 2
Direct
0.200 0.250 0.416 Nd
0.279 0.750 0.057 Nd
0.721 0.250 0.943 Nd
0.800 0.750 0.584 Nd
0.348 0.750 0.716 Ge
0.652 0.250 0.284 Ge
0.115 0.250 0.785 Ru
0.885 0.750 0.215 Ru


Record 2
PBE-GGA Tb4Pm3Bi8, relaxed; Fermi-level density of states = 8.518 states/eV/f.u.
1.0
6.382 -6.386 0.000
6.382 6.386 0.000
-6.337 0.000 6.387
Tb Pm Bi
4 3 8
Direct
0.000 0.000 0.000 Tb
0.000 0.000 0.500 Tb
0.000 0.500 0.000 Tb
0.500 0.000 0.000 Tb
0.000 0.500 0.500 Pm
0.500 0.000 0.500 Pm
0.500 0.500 0.500 Pm
0.248 0.752 0.500 Bi
0.250 0.250 0.505 Bi
0.251 0.251 0.995 Bi
0.253 0.747 0.000 Bi
0.747 0.253 0.000 Bi
0.749 0.749 0.005 Bi
0.750 0.750 0.495 Bi
0.752 0.248 0.500 Bi


Number 1: volume 195.8 Å³/cell, E -25.49 eV per formula unit, ΔH_f (0 K) -0.516 eV per atom. Number 2: volume 520.6 Å³/cell, E -74.41 eV per formula unit, ΔH_f (0 K) -0.706 eV per atom.